The following is a DFT calculation (GGA-PBE) of a relaxed structure of CaZn2Cd.

Summary:
- D(E_F): 1.8 states/eV per cell
- Space-group type: P4/mmm (123)
- Energy of formation from the pure elements: -135 meV per atom
- Total moment: 0.0 μB per cell
- Electronic total energy: -0.0552 hartree per atom

Lattice parameters (Å, degrees): 4.4864 4.4864 4.3947 90.00 90.00 90.00
Fractional coordinates of all 4 atoms:
Ca (0.0000, 0.0000, 0.0000)
Zn (0.0000, 0.5000, 0.5000)
Zn (0.5000, 0.0000, 0.5000)
Cd (0.5000, 0.5000, 0.0000)